# PBE-GGA KB4Au, relaxed
data_KB4Au
_cell_length_a 2.665
_cell_length_b 5.749
_cell_length_c 9.576
_cell_angle_alpha 90.00
_cell_angle_beta 90.00
_cell_angle_gamma 90.00
_space_group_name_H-M_alt 'I m m m'
_space_group_IT_number 71
_space_group_name_Hall '-I 2 2'
loop_
_atom_site_label
_atom_site_fract_x
_atom_site_fract_y
_atom_site_fract_z
K1 0.000 0.000 0.000
B1 0.000 0.353 0.238
Au1 0.000 0.000 0.500
# Energy relative to the lowest polymorph listed for this composition, meV per atom: 0
# V, Å³/cell: 146.7

# PBE-GGA KTlBAu, relaxed
data_KTlBAu
_cell_length_a 7.145
_cell_length_b 7.145
_cell_length_c 7.145
_cell_angle_alpha 90.00
_cell_angle_beta 90.00
_cell_angle_gamma 90.00
_space_group_name_H-M_alt 'F -4 3 m'
_space_group_IT_number 216
_space_group_name_Hall 'F -4 2 3'
loop_
_atom_site_label
_atom_site_fract_x
_atom_site_fract_y
_atom_site_fract_z
K1 0.000 0.000 0.000
Tl1 0.000 0.000 0.500
B1 0.250 0.250 0.750
Au1 0.250 0.250 0.250
# Energy relative to the lowest polymorph listed for this composition, meV per atom: 0
# V, Å³/cell: 364.7

# PBE-GGA KTlBAu, relaxed
data_KTlBAu
_cell_length_a 7.133
_cell_length_b 7.133
_cell_length_c 7.133
_cell_angle_alpha 90.00
_cell_angle_beta 90.00
_cell_angle_gamma 90.00
_space_group_name_H-M_alt 'F -4 3 m'
_space_group_IT_number 216
_space_group_name_Hall 'F -4 2 3'
loop_
_atom_site_label
_atom_site_fract_x
_atom_site_fract_y
_atom_site_fract_z
K1 0.000 0.000 0.000
Tl1 0.250 0.250 0.750
B1 0.000 0.000 0.500
Au1 0.250 0.250 0.250
# Energy relative to the lowest polymorph listed for this composition, meV per atom: 77
# V, Å³/cell: 363.0

# PBE-GGA LiLaBAu, relaxed
data_LiLaBAu
_cell_length_a 6.646
_cell_length_b 6.646
_cell_length_c 6.646
_cell_angle_alpha 90.00
_cell_angle_beta 90.00
_cell_angle_gamma 90.00
_space_group_name_H-M_alt 'F -4 3 m'
_space_group_IT_number 216
_space_group_name_Hall 'F -4 2 3'
loop_
_atom_site_label
_atom_site_fract_x
_atom_site_fract_y
_atom_site_fract_z
Li1 0.000 0.000 0.000
La1 0.250 0.250 0.750
B1 0.250 0.250 0.250
Au1 0.000 0.000 0.500
# Energy relative to the lowest polymorph listed for this composition, meV per atom: 264
# V, Å³/cell: 293.6

# PBE-GGA LiLaBAu, relaxed
data_LiLaBAu
_cell_length_a 6.475
_cell_length_b 6.475
_cell_length_c 6.475
_cell_angle_alpha 90.00
_cell_angle_beta 90.00
_cell_angle_gamma 90.00
_space_group_name_H-M_alt 'F -4 3 m'
_space_group_IT_number 216
_space_group_name_Hall 'F -4 2 3'
loop_
_atom_site_label
_atom_site_fract_x
_atom_site_fract_y
_atom_site_fract_z
Li1 0.000 0.000 0.000
La1 0.250 0.250 0.750
B1 0.000 0.000 0.500
Au1 0.250 0.250 0.250
# Energy relative to the lowest polymorph listed for this composition, meV per atom: 0
# V, Å³/cell: 271.5

# PBE-GGA NaLaBAu, relaxed
data_NaLaBAu
_cell_length_a 6.996
_cell_length_b 6.996
_cell_length_c 6.996
_cell_angle_alpha 90.00
_cell_angle_beta 90.00
_cell_angle_gamma 90.00
_space_group_name_H-M_alt 'F -4 3 m'
_space_group_IT_number 216
_space_group_name_Hall 'F -4 2 3'
loop_
_atom_site_label
_atom_site_fract_x
_atom_site_fract_y
_atom_site_fract_z
Na1 0.000 0.000 0.000
La1 0.000 0.000 0.500
B1 0.250 0.250 0.750
Au1 0.250 0.250 0.250
# Energy relative to the lowest polymorph listed for this composition, meV per atom: 0
# V, Å³/cell: 342.4

# PBE-GGA NaLaBAu, relaxed
data_NaLaBAu
_cell_length_a 6.809
_cell_length_b 6.809
_cell_length_c 6.809
_cell_angle_alpha 90.00
_cell_angle_beta 90.00
_cell_angle_gamma 90.00
_space_group_name_H-M_alt 'F -4 3 m'
_space_group_IT_number 216
_space_group_name_Hall 'F -4 2 3'
loop_
_atom_site_label
_atom_site_fract_x
_atom_site_fract_y
_atom_site_fract_z
Na1 0.000 0.000 0.000
La1 0.250 0.250 0.750
B1 0.250 0.250 0.250
Au1 0.000 0.000 0.500
# Energy relative to the lowest polymorph listed for this composition, meV per atom: 181
# V, Å³/cell: 315.6

# PBE-GGA NaLaBAu, relaxed
data_NaLaBAu
_cell_length_a 6.694
_cell_length_b 6.694
_cell_length_c 6.694
_cell_angle_alpha 90.00
_cell_angle_beta 90.00
_cell_angle_gamma 90.00
_space_group_name_H-M_alt 'F -4 3 m'
_space_group_IT_number 216
_space_group_name_Hall 'F -4 2 3'
loop_
_atom_site_label
_atom_site_fract_x
_atom_site_fract_y
_atom_site_fract_z
Na1 0.000 0.000 0.000
La1 0.250 0.250 0.750
B1 0.000 0.000 0.500
Au1 0.250 0.250 0.250
# Energy relative to the lowest polymorph listed for this composition, meV per atom: 24
# V, Å³/cell: 300.0

# PBE-GGA LiBAu3, relaxed
data_LiBAu3
_cell_length_a 4.380
_cell_length_b 4.380
_cell_length_c 4.380
_cell_angle_alpha 90.00
_cell_angle_beta 90.00
_cell_angle_gamma 90.00
_space_group_name_H-M_alt 'P m -3 m'
_space_group_IT_number 221
_space_group_name_Hall '-P 4 2 3'
loop_
_atom_site_label
_atom_site_fract_x
_atom_site_fract_y
_atom_site_fract_z
Li1 0.000 0.000 0.000
B1 0.500 0.500 0.500
Au1 0.000 0.500 0.500
# DFT total energy, eV for the cell shown: -18.59
# V, Å³/cell: 84.0

# PBE-GGA LiB2Au, relaxed
data_LiB2Au
_cell_length_a 5.515
_cell_length_b 5.515
_cell_length_c 5.515
_cell_angle_alpha 90.00
_cell_angle_beta 90.00
_cell_angle_gamma 90.00
_space_group_name_H-M_alt 'F -4 3 m'
_space_group_IT_number 216
_space_group_name_Hall 'F -4 2 3'
loop_
_atom_site_label
_atom_site_fract_x
_atom_site_fract_y
_atom_site_fract_z
Li1 0.000 0.000 0.000
B1 0.000 0.000 0.500
B2 0.250 0.250 0.750
Au1 0.250 0.250 0.250
# DFT total energy, eV for the cell shown: -58.61
# V, Å³/cell: 167.7

# PBE-GGA LiB4Au, relaxed
data_LiB4Au
_cell_length_a 2.992
_cell_length_b 5.224
_cell_length_c 7.440
_cell_angle_alpha 90.00
_cell_angle_beta 90.00
_cell_angle_gamma 90.00
_space_group_name_H-M_alt 'I m m m'
_space_group_IT_number 71
_space_group_name_Hall '-I 2 2'
loop_
_atom_site_label
_atom_site_fract_x
_atom_site_fract_y
_atom_site_fract_z
Li1 0.000 0.000 0.000
B1 0.000 0.336 0.261
Au1 0.000 0.000 0.500
# Energy relative to the lowest polymorph listed for this composition, meV per atom: 0
# V, Å³/cell: 116.3

# PBE-GGA LiBAu2, relaxed
data_LiBAu2
_cell_length_a 6.187
_cell_length_b 6.187
_cell_length_c 6.187
_cell_angle_alpha 90.00
_cell_angle_beta 90.00
_cell_angle_gamma 90.00
_space_group_name_H-M_alt 'F -4 3 m'
_space_group_IT_number 216
_space_group_name_Hall 'F -4 2 3'
loop_
_atom_site_label
_atom_site_fract_x
_atom_site_fract_y
_atom_site_fract_z
Li1 0.000 0.000 0.000
B1 0.250 0.250 0.750
Au1 0.000 0.000 0.500
Au2 0.250 0.250 0.250
# DFT total energy, eV for the cell shown: -52.43
# V, Å³/cell: 236.9